Record 1
Here is a geometry-optimized PrHo2ThSe4 structure from Alexandria. Energies are from PBE-GGA.

The space group is P2/m (No. 10) and the conventional cell measures 7.1076, 4.0760 and 7.3379 Å, with angles of 90.00, 108.67 and 90.00 degrees. Symmetry generates all atoms from Pr at (0.0000, 0.0000, 0.0000), Ho at (0.0000, 0.5000, 0.5000), Ho at (0.5000, 0.0000, 0.5000), Th at (0.5000, 0.5000, 0.0000), Se at (0.2455, 0.0000, 0.7326) and Se at (0.2578, 0.5000, 0.2683).

The calculation puts the formation energy from raw total energies at -1702 meV/atom.

Record 2
Here is a geometry-optimized Li4LaCd2Ag structure from Alexandria. Energies are from PBE-GGA.

The space group is R-3m (No. 166, hexagonal axes) and the conventional cell measures 4.9255, 4.9255 and 23.3467 Å, with angles of 90.00, 90.00 and 120.00 degrees. Symmetry generates all atoms from Li at (0.0000, 0.0000, 0.1095), Li at (0.0000, 0.0000, 0.3609), La at (0.0000, 0.0000, 0.5000), Cd at (0.0000, 0.0000, 0.2447) and Ag at (0.0000, 0.0000, 0.0000).

For the calculated formation energy, the calculation gives -1.14 eV per formula unit.

Record 3
Here is a geometry-optimized Cs3Ac3ErO8 structure from Alexandria. Energies are from PBE-GGA.

The space group is R-3m (No. 166, hexagonal axes) and the conventional cell measures 7.5882, 7.5882 and 21.1267 Å, with angles of 90.00, 90.00 and 120.00 degrees. Symmetry generates all atoms from Cs at (0.0000, 0.5000, 0.0000), Ac at (0.0000, 0.5000, 0.5000), Er at (0.0000, 0.0000, 0.5000), O at (0.0000, 0.0000, 0.2246) and O at (0.0248, 0.5124, 0.2201).

The calculation puts the formation energy from raw total energies at -2552 meV/atom.

Record 4
Here is a geometry-optimized KTaAs2 structure from Alexandria. Energies are from PBE-GGA.

The space group is F-43m (No. 216) and the conventional cell measures 6.8716, 6.8716 and 6.8716 Å, with angles of 90.00, 90.00 and 90.00 degrees. Symmetry generates all atoms from K at (0.0000, 0.0000, 0.0000), Ta at (0.2500, 0.2500, 0.7500), As at (0.0000, 0.0000, 0.5000) and As at (0.2500, 0.2500, 0.2500).

For the calculated formation energy, the calculation gives 3.73 eV per formula unit. The excess energy over the best structure of this formula in the dataset is 1321 meV/atom.

Record 5
Here is a geometry-optimized Ho6Tm4Th structure from Alexandria. Energies are from PBE-GGA.

The space group is Cmcm (No. 63) and the conventional cell measures 5.6256, 9.6247 and 25.4330 Å, with angles of 90.00, 90.00 and 90.00 degrees. Symmetry generates all atoms from Ho at (0.0000, 0.0000, 0.0000), Ho at (0.0000, 0.0133, 0.2500), Ho at (0.0000, 0.3221, 0.6010), Ho at (0.0000, 0.3464, 0.1821), Tm at (0.0000, 0.0139, 0.1220), Tm at (0.0000, 0.3375, 0.0413) and Th at (0.0000, 0.3210, 0.7500).

For the calculated formation energy, the calculation gives 1.59 eV per formula unit. The excess energy over the best structure of this formula in the dataset is 0 meV/atom.

Record 6
Here is a geometry-optimized NdSi4Tc9 structure from Alexandria. Energies are from PBE-GGA.

The space group is I4/mcm (No. 140) and the conventional cell measures 8.3568, 8.3568 and 12.6158 Å, with angles of 90.00, 90.00 and 90.00 degrees. Symmetry generates all atoms from Nd at (0.0000, 0.0000, 0.2500), Si at (0.1673, 0.3327, 0.1277), Tc at (0.0000, 0.5000, 0.0000), Tc at (0.0662, 0.1909, 0.5000) and Tc at (0.1307, 0.3693, 0.3215).

The calculation puts the formation energy from raw total energies at -300 meV/atom.

Record 7
Here is a geometry-optimized BeZn3W structure from Alexandria. Energies are from PBE-GGA.

The space group is Pm-3m (No. 221) and the conventional cell measures 4.1495, 4.1495 and 4.1495 Å, with angles of 90.00, 90.00 and 90.00 degrees. Symmetry generates all atoms from Be at (0.0000, 0.0000, 0.0000), Zn at (0.0000, 0.0000, 0.5000) and W at (0.5000, 0.5000, 0.5000).

For the calculated formation energy, the calculation gives 4.52 eV per formula unit. The excess energy over the best structure of this formula in the dataset is 0 meV/atom.

Record 8
Here is a geometry-optimized Tl4Hg structure from Alexandria. Energies are from PBE-GGA.

The space group is C2/c (No. 15) and the conventional cell measures 8.9506, 15.3876 and 5.9423 Å, with angles of 90.00, 131.40 and 90.00 degrees. Symmetry generates all atoms from Tl at (0.1239, 0.0919, 0.1235), Tl at (0.1497, 0.3098, 0.1498) and Hg at (0.0000, 0.4996, 0.2500).

For the calculated formation energy, the calculation gives 0.07 eV per formula unit. The excess energy over the best structure of this formula in the dataset is 16 meV/atom.

Record 9
Here is a geometry-optimized KScFe2P structure from Alexandria. Energies are from PBE-GGA.

The space group is P4/mmm (No. 123) and the conventional cell measures 4.3379, 4.3379 and 5.4570 Å, with angles of 90.00, 90.00 and 90.00 degrees. Symmetry generates all atoms from K at (0.0000, 0.0000, 0.0000), Sc at (0.5000, 0.5000, 0.5000), Fe at (0.0000, 0.5000, 0.0000) and P at (0.0000, 0.0000, 0.5000).

For the calculated formation energy, the calculation gives 8.75 eV per formula unit.

Record 10
Here is a geometry-optimized Sm8As4PS3 structure from Alexandria. Energies are from PBE-GGA.

The space group is R-3m (No. 166, hexagonal axes) and the conventional cell measures 8.2708, 8.2708 and 20.1915 Å, with angles of 90.00, 90.00 and 120.00 degrees. Symmetry generates all atoms from Sm at (0.0000, 0.0000, 0.2499), Sm at (0.0031, 0.5015, 0.2488), As at (0.0000, 0.0000, 0.0000), As at (0.0000, 0.5000, 0.0000), P at (0.0000, 0.0000, 0.5000) and S at (0.0000, 0.5000, 0.5000).

The calculation puts the formation energy from raw total energies at -1757 meV/atom.

Record 11
Here is a geometry-optimized RbHoBeO3 structure from Alexandria. Energies are from PBE-GGA.

The space group is P2_1/m (No. 11) and the conventional cell measures 7.7073, 3.3845 and 7.8940 Å, with angles of 90.00, 109.52 and 90.00 degrees. Symmetry generates all atoms from Rb at (0.2291, 0.2500, 0.2002), Ho at (0.1616, 0.2500, 0.6619), Be at (0.3950, 0.7500, 0.9359), O at (0.1453, 0.7500, 0.4681), O at (0.1806, 0.7500, 0.8618) and O at (0.4633, 0.2500, 0.8655).

The calculation puts the formation energy from raw total energies at -2666 meV/atom.

Record 12
Here is a geometry-optimized Er3Mg3Zn8 structure from Alexandria. Energies are from PBE-GGA.

The space group is Immm (No. 71) and the conventional cell measures 4.4474, 9.0632 and 13.3786 Å, with angles of 90.00, 90.00 and 90.00 degrees. Symmetry generates all atoms from Er at (0.0000, 0.0000, 0.0000), Er at (0.0000, 0.0000, 0.2920), Mg at (0.0000, 0.2037, 0.5000), Mg at (0.0000, 0.5000, 0.0000), Zn at (0.0000, 0.2740, 0.1446) and Zn at (0.0000, 0.3639, 0.3346).

For the calculated formation energy, the calculation gives -3.78 eV per formula unit.